Entry 1:
## Ac3La2Pb2 (PBE)

Data for crystalline Ac3La2Pb2 at its relaxed geometry.

Calculated values
Formation energy from the elements (eV per atom): -0.18

Cell lengths 9.615, 9.615, 8.351 Å; angles 114.52, 114.52, 22.97 degrees
Fractional positions:
Ac 0.000 0.000 0.000
Ac 0.221 0.221 0.192
Ac 0.779 0.779 0.808
La 0.083 0.083 0.681
La 0.917 0.917 0.319
Pb 0.393 0.393 0.619
Pb 0.607 0.607 0.381



Entry 2:
## YCrPb (PBE)

Data for crystalline YCrPb at its relaxed geometry.

Calculated values
Formation energy from the elements (eV per atom): 0.18

Cell lengths 6.296, 6.296, 6.296 Å; angles 147.62, 147.36, 46.64 degrees
Fractional positions:
Y 0.000 0.000 0.000
Cr 0.662 0.662 0.000
Pb 0.302 0.302 0.000



Entry 3:
## WC2 (PBE)

Data for crystalline WC2 at its relaxed geometry.

Calculated values
Formation energy from the elements (eV per atom): 1.22
E above lowest polymorph (kcal/mol of atoms): 16.34

Cell lengths 16.823, 16.823, 16.823 Å; angles 170.35, 170.35, 13.66 degrees
Fractional positions:
W 0.322 0.572 0.750
W 0.428 0.678 0.750
W 0.572 0.322 0.250
W 0.678 0.428 0.250
C 0.050 0.800 0.250
C 0.125 0.375 0.750
C 0.200 0.950 0.250
C 0.375 0.125 0.250
C 0.625 0.875 0.750
C 0.800 0.050 0.750
C 0.875 0.625 0.250
C 0.950 0.200 0.750



Entry 4:
## MgScTl3 (PBE)

Data for crystalline MgScTl3 at its relaxed geometry.

Calculated values
Formation energy from the elements (eV per atom): 0.43
E above lowest polymorph (kcal/mol of atoms): 0.00

Cell lengths 5.343, 5.343, 5.343 Å; angles 90.00, 90.00, 90.00 degrees
Fractional positions:
Mg 0.000 0.000 0.000
Sc 0.500 0.500 0.500
Tl 0.000 0.000 0.500
Tl 0.000 0.500 0.000
Tl 0.500 0.000 0.000



Entry 5:
## Rb2TbSb2O6 (PBE)

Data for crystalline Rb2TbSb2O6 at its relaxed geometry.

Calculated values
Raw formation energy (eV/atom): -1.842

Cell lengths 6.073, 6.073, 7.539 Å; angles 111.20, 111.20, 62.97 degrees
Fractional positions:
Rb 0.205 0.205 0.163
Rb 0.795 0.795 0.837
Tb 0.000 0.000 0.500
Sb 0.428 0.428 0.766
Sb 0.572 0.572 0.234
O 0.225 0.712 0.266
O 0.236 0.236 0.561
O 0.288 0.775 0.734
O 0.712 0.225 0.266
O 0.764 0.764 0.439
O 0.775 0.288 0.734



Entry 6:
## ScInCl2 (PBE)

Data for crystalline ScInCl2 at its relaxed geometry.

Calculated values
Raw formation energy (eV/atom): -1.165
E above lowest polymorph (kcal/mol of atoms): 2.44

Cell lengths 3.184, 3.184, 10.798 Å; angles 90.00, 90.00, 90.00 degrees
Fractional positions:
Sc 0.000 0.000 0.000
In 0.000 0.000 0.500
Cl 0.500 0.500 0.142
Cl 0.500 0.500 0.858



Entry 7:
## In2PSe (PBE)

Data for crystalline In2PSe at its relaxed geometry.

Calculated values
Raw formation energy (eV/atom): 0.062
E above lowest polymorph (kcal/mol of atoms): 7.59

Cell lengths 3.869, 3.869, 7.603 Å; angles 90.00, 90.00, 118.09 degrees
Fractional positions:
In 0.000 0.000 0.237
In 0.000 0.000 0.763
P 0.500 0.500 0.000
Se 0.500 0.500 0.500



Entry 8:
## BaIn2IrBr (PBE)

Data for crystalline BaIn2IrBr at its relaxed geometry.

Calculated values
Raw formation energy (eV/atom): -0.704

Cell lengths 5.168, 5.168, 6.202 Å; angles 90.00, 90.00, 90.00 degrees
Fractional positions:
Ba 0.000 0.000 0.000
In 0.000 0.500 0.500
In 0.500 0.000 0.500
Ir 0.000 0.000 0.500
Br 0.500 0.500 0.000



Calculated volume values (in Å³/f.u.) by entry order: 272.9, 71.8, 33.4, 152.5, 224.3, 109.5, 100.4, 165.6.